Record 1
Crystalline Sm8Ge3Te4P at its relaxed geometry. Source: Alexandria via LeMat-Bulk, functional PBE.

Properties
formation energy from raw total energies: -1.311 eV/atom
total magnetization: 0.000 μB per atom
VASP energy: -5.660 eV/atom

Structure (POSCAR):
```
Sm8Ge3Te4P
1.0
8.601 0.000 0.000
0.000 8.769 0.113
-4.300 -4.296 6.085
Ge Te P Sm
3 4 1 8
direct
0.500 0.500 0.500
0.500 0.500 0.000
0.000 0.500 0.500
0.000 0.000 0.500
0.000 0.000 0.000
0.500 0.000 0.500
0.500 0.000 0.000
0.000 0.500 0.000
0.761 0.280 0.019
0.239 0.720 0.981
0.741 0.724 0.483
0.239 0.720 0.478
0.259 0.276 0.517
0.761 0.280 0.522
0.258 0.280 0.019
0.742 0.720 0.981
```

---

Record 2
Crystalline YSn at its relaxed geometry. Source: Alexandria via LeMat-Bulk, functional PBE.

Properties
total magnetization: 0.000 μB per atom
energy relative to the elements: -654 meV/atom
VASP energy: -5.888 eV/atom

Structure (POSCAR):
```
YSn
1.0
6.074 0.000 0.000
0.000 6.264 0.000
0.000 0.000 11.647
Sn Y
8 8
direct
0.319 0.417 0.563
0.819 0.083 0.437
0.339 0.137 0.778
0.681 0.917 0.937
0.839 0.363 0.222
0.161 0.863 0.278
0.661 0.637 0.722
0.181 0.583 0.063
0.364 0.911 0.527
0.348 0.359 0.300
0.136 0.089 0.027
0.636 0.411 0.973
0.652 0.859 0.200
0.848 0.141 0.700
0.864 0.589 0.473
0.152 0.641 0.800
```

---

Record 3
Crystalline TcSbTeN2 at its relaxed geometry. Source: Alexandria via LeMat-Bulk, functional PBE.

Properties
formation energy from raw total energies: 1.650 eV/atom
total magnetization: 1.026 μB per atom
VASP energy: -5.206 eV/atom
ΔE to the lowest computed polymorph: 0.800 eV/atom

Structure (POSCAR):
```
TcSbTeN2
1.0
4.030 0.000 0.000
0.000 4.030 0.000
0.000 0.000 6.508
Tc Te N Sb
1 1 2 1
direct
0.500 0.500 0.500
0.000 0.000 0.500
0.500 0.000 0.000
0.000 0.500 0.000
0.000 0.000 0.000
```

---

Record 4
Crystalline GaGeH3 at its relaxed geometry. Source: Alexandria via LeMat-Bulk, functional PBE.

Properties
total magnetization: 0.000 μB per atom
VASP energy: -3.049 eV/atom
ΔE to the lowest computed polymorph: 0.000 eV/atom

Structure (POSCAR):
```
GaGeH3
1.0
3.832 0.000 0.000
0.000 3.832 0.000
0.000 0.000 3.832
Ga H Ge
1 3 1
direct
0.500 0.500 0.500
0.000 0.500 0.000
0.000 0.000 0.500
0.500 0.000 0.000
0.000 0.000 0.000
```

---

Record 5
Crystalline PaTl3In2Te6 at its relaxed geometry. Source: Alexandria via LeMat-Bulk, functional PBE.

Properties
formation energy from raw total energies: -0.452 eV/atom
total magnetization: 0.000 μB per atom
VASP energy: -3.863 eV/atom

Structure (POSCAR):
```
PaTl3In2Te6
1.0
-0.123 -7.800 -0.346
1.561 3.580 6.762
-8.287 1.422 -0.314
In Te Tl Pa
2 6 3 1
direct
0.666 0.334 0.000
0.334 0.666 0.000
0.247 0.247 0.783
0.753 0.753 0.217
0.390 0.071 0.212
0.071 0.390 0.212
0.610 0.929 0.788
0.929 0.610 0.788
0.831 0.169 0.500
0.169 0.831 0.500
0.500 0.500 0.500
0.000 0.000 0.000
```

---

Record 6
Crystalline TiW2 at its relaxed geometry. Source: Alexandria via LeMat-Bulk, functional PBE.

Properties
total magnetization: 0.000 μB per atom
energy relative to the elements: -33 meV/atom
VASP energy: -11.300 eV/atom

Structure (POSCAR):
```
TiW2
1.0
2.756 -0.236 0.000
-0.716 2.672 0.000
-1.020 -1.218 6.733
W Ti
2 1
direct
0.668 0.668 0.335
0.332 0.332 0.665
0.000 0.000 0.000
```

---

Record 7
Crystalline CoBr2Cl at its relaxed geometry. Source: Alexandria via LeMat-Bulk, functional PBE.

Properties
formation energy from raw total energies: 0.607 eV/atom
total magnetization: 0.500 μB per atom
VASP energy: -2.467 eV/atom
ΔE to the lowest computed polymorph: 0.934 eV/atom

Structure (POSCAR):
```
CoBr2Cl
1.0
0.000 3.478 3.478
3.478 0.000 3.478
3.478 3.478 0.000
Cl Co Br
1 1 2
direct
0.000 0.000 0.000
0.500 0.500 0.500
0.250 0.250 0.250
0.750 0.750 0.750
```

---

Record 8
Crystalline Nd5SmIn2 at its relaxed geometry. Source: Alexandria via LeMat-Bulk, functional PBE.

Properties
total magnetization: 0.000 μB per atom
energy relative to the elements: -275 meV/atom
VASP energy: -4.530 eV/atom

Structure (POSCAR):
```
Nd5SmIn2
1.0
-3.708 1.182 -3.104
3.556 -2.894 -5.350
-6.149 -12.403 2.623
Nd Sm In
10 2 4
direct
0.000 0.502 0.249
0.000 0.500 0.500
0.000 0.998 0.749
0.000 0.498 0.751
0.000 0.000 0.000
0.500 0.749 0.625
0.500 0.251 0.375
0.500 0.249 0.875
0.500 0.751 0.125
0.000 0.002 0.251
0.000 0.500 0.000
0.000 0.000 0.500
0.500 0.248 0.624
0.500 0.252 0.124
0.500 0.752 0.376
0.500 0.748 0.876
```

---

Record 9
Crystalline Zn2GeTeO8 at its relaxed geometry. Source: Alexandria via LeMat-Bulk, functional PBE.

Properties
formation energy from raw total energies: -0.766 eV/atom
total magnetization: 0.169 μB per atom
VASP energy: -4.930 eV/atom

Structure (POSCAR):
```
Zn2GeTeO8
1.0
0.511 -1.645 5.422
5.411 1.130 -1.348
-3.503 4.424 -0.721
Ge O Te Zn
1 8 1 2
direct
0.250 0.750 0.500
0.950 0.650 0.700
0.292 0.087 0.795
0.503 0.708 0.795
0.292 0.497 0.205
0.913 0.708 0.205
0.350 0.050 0.300
0.950 0.250 0.300
0.750 0.050 0.700
0.000 0.000 0.000
0.500 0.500 0.000
0.750 0.250 0.500
```

---

Record 10
Crystalline W4Se3 at its relaxed geometry. Source: Alexandria via LeMat-Bulk, functional PBE.

Properties
formation energy from raw total energies: 0.170 eV/atom
total magnetization: 0.000 μB per atom
VASP energy: -8.725 eV/atom
ΔE to the lowest computed polymorph: 0.000 eV/atom

Structure (POSCAR):
```
W4Se3
1.0
-3.468 -9.581 9.168
-2.491 -6.380 11.873
0.938 8.658 -10.585
W Se
4 3
direct
0.440 0.440 0.000
0.868 0.868 0.000
0.132 0.132 0.000
0.560 0.560 0.000
0.000 0.000 0.000
0.313 0.313 0.000
0.687 0.687 0.000
```

---

Record 11
Crystalline HfCdAg2 at its relaxed geometry. Source: Alexandria via LeMat-Bulk, functional PBE.

Properties
total magnetization: 0.000 μB per atom
energy relative to the elements: 33 meV/atom
VASP energy: -4.109 eV/atom

Structure (POSCAR):
```
HfCdAg2
1.0
3.046 0.000 0.000
1.523 2.638 0.000
1.523 0.879 9.859
Hf Ag Cd
1 2 1
direct
0.500 0.500 0.501
0.250 0.250 0.251
0.084 0.084 0.749
0.667 0.667 0.999
```

---

Record 12
Crystalline Mn2FeAu at its relaxed geometry. Source: Alexandria via LeMat-Bulk, functional PBE.

Properties
total magnetization: 0.661 μB per atom
energy relative to the elements: 151 meV/atom
VASP energy: -7.369 eV/atom
ΔE to the lowest computed polymorph: 0.010 eV/atom

Structure (POSCAR):
```
Mn2FeAu
1.0
-0.726 0.201 2.587
3.225 -1.553 1.026
2.285 4.916 0.259
Au Fe Mn
1 1 2
direct
0.000 0.000 0.503
0.500 0.500 0.775
0.500 0.500 0.224
0.000 0.000 0.998
```

---

Record 13
Crystalline KSeS at its relaxed geometry. Source: Alexandria via LeMat-Bulk, functional PBE.

Properties
formation energy from raw total energies: -0.550 eV/atom
total magnetization: 0.000 μB per atom
VASP energy: -3.454 eV/atom
ΔE to the lowest computed polymorph: 0.078 eV/atom

Structure (POSCAR):
```
KSeS
1.0
5.944 0.000 0.000
-2.972 5.546 -0.036
0.000 -1.480 6.140
K S Se
2 2 2
direct
0.641 0.283 0.780
0.359 0.717 0.220
0.675 0.351 0.306
0.325 0.649 0.694
0.134 0.267 0.497
0.866 0.733 0.503
```

---

Record 14
Crystalline Tl2TcBr at its relaxed geometry. Source: Alexandria via LeMat-Bulk, functional PBE.

Properties
formation energy from raw total energies: 0.774 eV/atom
total magnetization: 0.919 μB per atom
VASP energy: -3.419 eV/atom
ΔE to the lowest computed polymorph: 0.433 eV/atom

Structure (POSCAR):
```
Tl2TcBr
1.0
0.000 3.797 3.797
3.797 0.000 3.797
3.797 3.797 0.000
Tl Br Tc
2 1 1
direct
0.750 0.750 0.750
0.250 0.250 0.250
0.000 0.000 0.000
0.500 0.500 0.500
```

---

Record 15
Crystalline TaFeOs2 at its relaxed geometry. Source: Alexandria via LeMat-Bulk, functional PBE.

Properties
total magnetization: 0.394 μB per atom
energy relative to the elements: 207 meV/atom
VASP energy: -10.487 eV/atom

Structure (POSCAR):
```
TaFeOs2
1.0
9.094 0.003 0.002
8.676 2.725 0.002
8.676 1.332 2.377
Os Ta Fe
2 1 1
direct
0.254 0.254 0.254
0.003 0.003 0.003
0.497 0.497 0.497
0.746 0.746 0.746
```

---

Record 16
Crystalline Si2AgRh at its relaxed geometry. Source: Alexandria via LeMat-Bulk, functional PBE.

Properties
formation energy from raw total energies: 0.072 eV/atom
total magnetization: 0.000 μB per atom
VASP energy: -5.190 eV/atom
ΔE to the lowest computed polymorph: 0.241 eV/atom

Structure (POSCAR):
```
Si2AgRh
1.0
5.165 0.004 0.008
1.932 4.790 -0.008
-2.741 -3.592 2.503
Si Ag Rh
2 1 1
direct
0.020 0.020 0.000
0.480 0.480 0.000
0.750 0.250 0.500
0.250 0.750 0.500
```

---

Record 17
Crystalline RbYSi at its relaxed geometry. Source: Alexandria via LeMat-Bulk, functional PBE.

Properties
formation energy from raw total energies: -0.112 eV/atom
total magnetization: 0.000 μB per atom
VASP energy: -4.397 eV/atom
ΔE to the lowest computed polymorph: 0.179 eV/atom

Structure (POSCAR):
```
RbYSi
1.0
-12.868 4.508 -4.896
-3.496 -1.172 2.597
3.177 4.033 0.869
Rb Si Y
2 2 2
direct
0.318 0.703 0.344
0.992 0.079 0.701
0.645 0.571 0.602
0.794 0.903 0.917
0.565 0.346 0.911
0.747 0.746 0.292
```

---

Record 18
Crystalline K2InRh at its relaxed geometry. Source: Alexandria via LeMat-Bulk, functional PBE.

Properties
total magnetization: 0.121 μB per atom
energy relative to the elements: 486 meV/atom
VASP energy: -2.585 eV/atom

Structure (POSCAR):
```
K2InRh
1.0
-2.061 1.313 2.024
-0.042 -2.682 1.696
8.502 3.787 6.202
Rh K In
1 2 1
direct
0.500 0.500 0.250
0.000 0.000 0.461
0.000 0.000 0.039
0.500 0.500 0.750
```

---

Record 19
Crystalline MnPCSeN at its relaxed geometry. Source: Alexandria via LeMat-Bulk, functional PBE.

Properties
formation energy from raw total energies: 0.306 eV/atom
total magnetization: 0.574 μB per atom
VASP energy: -6.817 eV/atom
ΔE to the lowest computed polymorph: 0.089 eV/atom

Structure (POSCAR):
```
MnPCSeN
1.0
4.379 0.000 0.045
0.000 2.812 0.000
-4.195 0.000 11.664
P C N Se Mn
2 2 2 2 2
direct
0.616 0.000 0.712
0.616 0.500 0.212
0.258 0.500 0.082
0.258 0.000 0.582
0.811 0.500 0.685
0.811 0.000 0.185
0.411 0.000 0.446
0.411 0.500 0.946
0.926 0.500 0.545
0.926 0.000 0.045
```

---

Record 20
Crystalline B5C at its relaxed geometry. Source: Alexandria via LeMat-Bulk, functional PBE.

Properties
total magnetization: 0.000 μB per atom
energy relative to the elements: 493 meV/atom
VASP energy: -6.609 eV/atom
ΔE to the lowest computed polymorph: 0.296 eV/atom

Structure (POSCAR):
```
B5C
1.0
2.353 0.000 0.000
0.000 4.994 0.000
0.000 0.000 7.002
B C
10 2
direct
0.500 0.493 0.167
0.000 0.002 0.014
0.000 0.257 0.167
0.000 0.236 0.513
0.500 0.514 0.820
0.000 0.236 0.820
0.500 0.748 0.014
0.500 0.748 0.319
0.000 0.002 0.319
0.500 0.514 0.513
0.000 0.964 0.667
0.500 0.786 0.667
```